Record 1
Computed, not measured: crystalline YMgTl2 at its relaxed geometry at the PBE-GGA level of DFT.

calculated formation energy	-19	kJ per mole of atoms
mass density	8.4	g/cm3

a b c (Å): 3.7225 3.7225 7.4058
angles (deg): 90.00 90.00 90.00
Space group P4/mmm (No. 123)
One atom of each set of equivalent atoms:
1 Y 0.0000 0.0000 0.0000 (multiplicity 1)
2 Mg 0.0000 0.0000 0.5000 (multiplicity 1)
3 Tl 0.5000 0.5000 0.2688 (multiplicity 2)


Record 2
Computed, not measured: crystalline ErTmTlSe at its relaxed geometry at the PBE-GGA level of DFT.

mass density	9.9	g/cm3
E_form (uncorrected)	-0.942	eV per atom

a b c (Å): 3.7823 3.7823 8.3861
angles (deg): 90.00 90.00 120.00
Space group P3m1 (No. 156)
One atom of each set of equivalent atoms:
1 Er 0.0000 0.0000 0.0000 (multiplicity 1)
2 Tm 0.6667 0.3333 0.4335 (multiplicity 1)
3 Tl 0.3333 0.6667 0.7157 (multiplicity 1)
4 Se 0.3333 0.6667 0.2178 (multiplicity 1)


Record 3
Computed, not measured: crystalline TiSn3Pt at its relaxed geometry at the PBE-GGA level of DFT.

calculated formation energy	62	kJ per mole of atoms
mass density	7.1	g/cm3
ΔE to the lowest computed polymorph	51.3	kJ/mol of formula units

a b c (Å): 5.1966 5.1966 5.1966
angles (deg): 90.00 90.00 90.00
Space group Pm-3m (No. 221)
One atom of each set of equivalent atoms:
1 Ti 0.0000 0.0000 0.0000 (multiplicity 1)
2 Sn 0.0000 0.0000 0.5000 (multiplicity 3)
3 Pt 0.5000 0.5000 0.5000 (multiplicity 1)


Record 4
Computed, not measured: crystalline Cd2AsPt at its relaxed geometry at the PBE-GGA level of DFT.

calculated formation energy	9	kJ per mole of atoms
mass density	9.9	g/cm3

a b c (Å): 7.7111 7.7111 5.5592
angles (deg): 90.00 90.00 90.00
Space group I-42d (No. 122)
One atom of each set of equivalent atoms:
1 Cd 0.2458 0.2500 0.1250 (multiplicity 8)
2 As 0.0000 0.0000 0.5000 (multiplicity 4)
3 Pt 0.0000 0.0000 0.0000 (multiplicity 4)


Record 5
Computed, not measured: crystalline Sc2TaGe2Ru5 at its relaxed geometry at the PBE-GGA level of DFT.

calculated formation energy	-47	kJ per mole of atoms
mass density	9.4	g/cm3

a b c (Å): 9.9604 9.9604 3.2705
angles (deg): 90.00 90.00 90.00
Space group P4/mbm (No. 127)
One atom of each set of equivalent atoms:
1 Sc 0.1712 0.3288 0.0000 (multiplicity 4)
2 Ta 0.0000 0.0000 0.0000 (multiplicity 2)
3 Ge 0.1292 0.6292 0.0000 (multiplicity 4)
4 Ru 0.0000 0.5000 0.5000 (multiplicity 2)
5 Ru 0.0646 0.7976 0.5000 (multiplicity 8)


Record 6
Computed, not measured: crystalline Pm3Pr6YHo2 at its relaxed geometry at the PBE-GGA level of DFT.

calculated formation energy	1	kJ per mole of atoms
mass density	6.8	g/cm3

a b c (Å): 6.3526 11.0069 12.0279
angles (deg): 90.00 100.13 90.00
Space group C2/m (No. 12)
One atom of each set of equivalent atoms:
1 Pm 0.0000 0.0000 0.0000 (multiplicity 2)
2 Pm 0.0000 0.3332 0.0000 (multiplicity 4)
3 Pr 0.2489 0.0000 0.7468 (multiplicity 4)
4 Pr 0.2498 0.1672 0.2533 (multiplicity 8)
5 Y 0.0000 0.5000 0.5000 (multiplicity 2)
6 Ho 0.0000 0.1666 0.5000 (multiplicity 4)


Q: Which value of mass density does entry 4 give?
A: 9.9 g/cm3